# 1
The following is a PBE-GGA calculation of a geometry-optimized Pa2TcHg structure, from the Alexandria database.

The formation energy comes out at -0.140 eV/atom. The calculation puts the energy above the most stable polymorph in this dataset at 0.000 eV/atom. Its space-group type is P4/mmm, No. 123. As for the crystal system: tetragonal.

The structure in extended XYZ format:
```
4
Lattice="3.1936 0.0000 0.0000 0.0000 3.1936 0.0000 0.0000 0.0000 8.7806" Properties=species:S:1:pos:R:3 pbc="T T T"
Pa 0.0000 0.0000 1.8624
Pa 0.0000 0.0000 6.9182
Tc 1.5968 1.5968 0.0000
Hg 1.5968 1.5968 4.3903
```



# 2
The following is a PBE-GGA calculation of a geometry-optimized AcZn3Ir2 structure, from the Alexandria database.

The formation energy comes out at -0.396 eV/atom. The calculation puts the energy above the most stable polymorph in this dataset at 0.000 eV/atom. Its space-group type is Cmcm, No. 63. As for the crystal system: orthorhombic.

The structure in extended XYZ format:
```
12
Lattice="4.8023 -4.1229 0.0000 4.8023 4.1229 0.0000 0.0000 0.0000 5.7699" Properties=species:S:1:pos:R:3 pbc="T T T"
Ac 4.8023 2.7845 4.3274
Ac 4.8023 -2.7845 1.4425
Zn 3.0430 2.2167 1.4425
Zn 6.5616 2.2167 1.4425
Zn 4.8023 0.3778 1.4425
Zn 4.8023 -0.3778 4.3274
Zn 3.0430 -2.2167 4.3274
Zn 6.5616 -2.2167 4.3274
Ir 2.6742 0.0000 0.0000
Ir 2.6742 0.0000 2.8849
Ir 6.9304 0.0000 0.0000
Ir 6.9304 0.0000 2.8849
```



# 3
The following is a PBE-GGA calculation of a geometry-optimized Ac3La2Ni4 structure, from the Alexandria database.

The formation energy comes out at -0.196 eV/atom. Its space-group type is C2/m, No. 12. As for the crystal system: monoclinic.

The structure in extended XYZ format:
```
9
Lattice="5.9723 -2.0347 0.0000 5.9723 2.0347 0.0000 -1.6720 0.0000 9.9398" Properties=species:S:1:pos:R:3 pbc="T T T"
Ac 0.0000 0.0000 0.0000
Ac 3.5293 0.0000 6.0626
Ac 6.7434 0.0000 3.8772
La 3.3752 0.0000 2.1757
La 6.8975 0.0000 7.7641
Ni -0.1758 0.0000 6.0399
Ni 2.0380 0.0000 9.3354
Ni 8.2347 0.0000 0.6045
Ni 10.4485 0.0000 3.8999
```



# 4
The following is a PBE-GGA calculation of a geometry-optimized AcSm2I8 structure, from the Alexandria database.

The formation energy from raw total energies is -1.26 eV per atom. Its space-group type is C2/m, No. 12. As for the crystal system: monoclinic.

The structure in extended XYZ format:
```
11
Lattice="9.5634 -4.5507 0.0000 9.5634 4.5507 0.0000 -0.5812 0.0000 7.6629" Properties=species:S:1:pos:R:3 pbc="T T T"
Ac 0.0000 0.0000 0.0000
Sm 2.6164 0.0000 3.1738
Sm 15.9292 0.0000 4.4891
I 2.4071 0.0000 6.1958
I 7.8654 2.1997 5.6137
I 5.4252 0.0000 2.4822
I 10.6803 2.1997 2.0492
I 7.8654 -2.1997 5.6137
I 13.1205 0.0000 5.1806
I 10.6803 -2.1997 2.0492
I 16.1385 0.0000 1.4671
```



# 5
The following is a PBE-GGA calculation of a geometry-optimized DyZr2Tl structure, from the Alexandria database.

The formation energy comes out at 0.069 eV/atom. The calculation puts the energy above the most stable polymorph in this dataset at 0.229 eV/atom. Its space-group type is R3m, No. 160. As for the crystal system: trigonal.

The structure in extended XYZ format:
```
4
Lattice="1.6740 0.9665 10.4381 -1.6740 0.9665 10.4381 0.0000 -1.9330 10.4381" Properties=species:S:1:pos:R:3 pbc="T T T"
Dy 0.0000 0.0000 0.0000
Zr 0.0000 0.0000 18.2145
Zr 0.0000 0.0000 23.5601
Tl 0.0000 0.0000 5.2217
```



# 6
The following is a PBE-GGA calculation of a geometry-optimized CsGa5Ge4 structure, from the Alexandria database.

The formation energy comes out at 0.038 eV/atom. Its space-group type is Pmmn, No. 59. As for the crystal system: orthorhombic.

The structure in extended XYZ format:
```
20
Lattice="6.2432 0.0000 0.0000 0.0000 11.7627 0.0000 0.0000 0.0000 7.0139" Properties=species:S:1:pos:R:3 pbc="T T T"
Cs 1.5608 2.9407 0.9379
Cs 4.6824 8.8220 6.0760
Ga 0.2649 6.6528 1.4981
Ga 0.2649 10.9912 1.4981
Ga 1.5608 8.8220 4.4232
Ga 2.8567 6.6528 1.4981
Ga 2.8567 10.9912 1.4981
Ga 3.3865 0.7715 5.5158
Ga 3.3865 5.1099 5.5158
Ga 4.6824 2.9407 2.5907
Ga 5.9782 0.7715 5.5158
Ga 5.9782 5.1099 5.5158
Ge 0.3011 2.9407 4.3462
Ge 1.5608 6.7581 6.0413
Ge 1.5608 10.8859 6.0413
Ge 2.8205 2.9407 4.3462
Ge 3.4227 8.8220 2.6677
Ge 4.6824 0.8768 0.9726
Ge 4.6824 5.0046 0.9726
Ge 5.9420 8.8220 2.6677
```



# 7
The following is a PBE-GGA calculation of a geometry-optimized Pm2Pr3Er2 structure, from the Alexandria database.

The formation energy comes out at 0.017 eV/atom. The calculation puts the energy above the most stable polymorph in this dataset at 0.000 eV/atom. Its space-group type is P-1, No. 2. As for the crystal system: triclinic.

The structure in extended XYZ format:
```
7
Lattice="3.6459 0.0000 0.0000 -1.8133 6.0229 0.0000 -0.0128 -1.1279 10.8348" Properties=species:S:1:pos:R:3 pbc="T T T"
Pm -0.0008 2.1993 3.8652
Pm 1.8206 2.6957 6.9696
Pr -0.0069 3.2687 10.0674
Pr 1.8165 -0.5639 5.4174
Pr 1.8267 1.6263 0.7674
Er -0.0082 -0.0228 8.5101
Er 1.8279 4.9178 2.3247
```



# 8
The following is a PBE-GGA calculation of a geometry-optimized RbBa2Ag2 structure, from the Alexandria database.

The formation energy comes out at 0.045 eV/atom. The calculation puts the energy above the most stable polymorph in this dataset at 0.172 eV/atom. Its space-group type is I4/mmm, No. 139. As for the crystal system: tetragonal.

The structure in extended XYZ format:
```
5
Lattice="-3.0832 3.0832 6.9115 3.0832 -3.0832 6.9115 3.0832 3.0832 -6.9115" Properties=species:S:1:pos:R:3 pbc="T T T"
Rb 0.0000 0.0000 0.0000
Ba 0.0000 0.0000 4.6650
Ba 0.0000 0.0000 9.1581
Ag 3.0832 0.0000 3.4558
Ag 0.0000 3.0832 3.4558
```



# 9
The following is a PBE-GGA calculation of a geometry-optimized Li2AlTc structure, from the Alexandria database.

The formation energy comes out at -0.046 eV/atom. Its space-group type is Immm, No. 71. As for the crystal system: orthorhombic.

The structure in extended XYZ format:
```
4
Lattice="-1.3547 2.2331 4.7976 1.3547 -2.2331 4.7976 1.3547 2.2331 -4.7976" Properties=species:S:1:pos:R:3 pbc="T T T"
Li 0.0000 0.0000 2.3709
Li 0.0000 0.0000 7.2244
Al 1.3547 0.0000 0.0000
Tc 0.0000 2.2331 0.0000
```



# 10
The following is a PBE-GGA calculation of a geometry-optimized Pr3Y8Sc structure, from the Alexandria database.

The formation energy comes out at 0.586 eV/atom. Its space-group type is I-42m, No. 121. As for the crystal system: tetragonal.

The structure in extended XYZ format:
```
12
Lattice="-4.3867 4.3867 5.6988 4.3867 -4.3867 5.6988 4.3867 4.3867 -5.6988" Properties=species:S:1:pos:R:3 pbc="T T T"
Pr 0.0000 0.0000 0.0000
Pr 4.3867 0.0000 2.8494
Pr 0.0000 4.3867 2.8494
Y 3.2840 3.2840 -2.7272
Y 2.0446 -2.0446 5.4062
Y 2.3421 2.3421 0.2926
Y 1.1027 1.1027 2.9716
Y 1.1027 -1.1027 8.4259
Y -2.0446 2.0446 5.4062
Y 2.0446 2.0446 5.9913
Y -1.1027 1.1027 8.4259
Sc 0.0000 0.0000 5.6988
```



# 11
The following is a PBE-GGA calculation of a geometry-optimized K2AuS2 structure, from the Alexandria database.

The formation energy from raw total energies is -0.69 eV per atom. Its space-group type is I4/mmm, No. 139. As for the crystal system: tetragonal.

The structure in extended XYZ format:
```
5
Lattice="-3.1674 3.1674 5.1502 3.1674 -3.1674 5.1502 3.1674 3.1674 -5.1502" Properties=species:S:1:pos:R:3 pbc="T T T"
K 3.1674 0.0000 2.5751
K 0.0000 3.1674 2.5751
Au 0.0000 0.0000 0.0000
S 0.0000 0.0000 2.2647
S 0.0000 0.0000 8.0357
```



# 12
The following is a PBE-GGA calculation of a geometry-optimized ScAsRu2 structure, from the Alexandria database.

The formation energy comes out at -0.212 eV/atom. Its space-group type is P4mm, No. 99. As for the crystal system: tetragonal.

The structure in extended XYZ format:
```
4
Lattice="3.0124 0.0000 0.0000 0.0000 3.0124 0.0000 0.0000 0.0000 7.1340" Properties=species:S:1:pos:R:3 pbc="T T T"
Sc 0.0000 0.0000 0.0000
As 1.5062 1.5062 2.2018
Ru 0.0000 0.0000 3.5760
Ru 1.5062 1.5062 5.3601
```



| no. | total magnetic moment (μB per atom) |
| --- | --- |
| 1 | 0.000 |
| 2 | 0.000 |
| 3 | 0.000 |
| 4 | 0.093 |
| 5 | 0.000 |
| 6 | 0.000 |
| 7 | 0.000 |
| 8 | 0.000 |
| 9 | 0.000 |
| 10 | 0.000 |
| 11 | 0.200 |
| 12 | 0.000 |